[1]
# Pm3NdSm6Dy2

A geometry-optimized Pm3NdSm6Dy2 structure (PBE-GGA, Alexandria).

DFT total energy, eV per atom: -4.70
Total moment, μB/atom: 0.000
Symmetry: No. 12
DFT formation energy, eV per atom: 0.0140

POSCAR file:
```
Pm3NdSm6Dy2
1.0
3.139 -5.435 0.000
3.139 5.435 0.000
-2.095 0.000 11.840
Pm Nd Sm Dy
3 1 6 2
Direct
0.000 0.000 0.000 Pm
0.333 0.667 0.000 Pm
0.667 0.333 0.000 Pm
0.500 0.500 0.500 Nd
0.083 0.417 0.252 Sm
0.249 0.249 0.748 Sm
0.417 0.083 0.252 Sm
0.583 0.917 0.748 Sm
0.751 0.751 0.252 Sm
0.917 0.583 0.748 Sm
0.167 0.833 0.500 Dy
0.833 0.167 0.500 Dy
```

[2]
# PmNdSm4Dy2

A geometry-optimized PmNdSm4Dy2 structure (PBE-GGA, Alexandria).

DFT total energy, eV per atom: -4.68
Total moment, μB/atom: 0.000
Symmetry: No. 10
DFT formation energy, eV per atom: 0.0163

POSCAR file:
```
PmNdSm4Dy2
1.0
6.251 0.000 0.000
0.000 3.618 0.000
-2.107 0.000 11.829
Pm Nd Sm Dy
1 1 4 2
Direct
0.000 0.000 0.000 Pm
0.000 0.500 0.500 Nd
0.251 0.000 0.751 Sm
0.251 0.500 0.250 Sm
0.749 0.000 0.249 Sm
0.749 0.500 0.750 Sm
0.500 0.000 0.500 Dy
0.500 0.500 0.000 Dy
```

[3]
# PmNd6Sm3Dy2

A geometry-optimized PmNd6Sm3Dy2 structure (PBE-GGA, Alexandria).

DFT total energy, eV per atom: -4.71
Total moment, μB/atom: 0.000
Symmetry: No. 12
DFT formation energy, eV per atom: 0.0125

POSCAR file:
```
PmNd6Sm3Dy2
1.0
3.159 -5.472 0.000
3.159 5.472 0.000
-2.108 0.000 11.851
Pm Nd Sm Dy
1 6 3 2
Direct
0.000 0.000 0.000 Pm
0.083 0.417 0.249 Nd
0.250 0.250 0.751 Nd
0.417 0.083 0.249 Nd
0.583 0.917 0.751 Nd
0.750 0.750 0.249 Nd
0.917 0.583 0.751 Nd
0.167 0.833 0.500 Sm
0.500 0.500 0.500 Sm
0.833 0.167 0.500 Sm
0.333 0.667 0.000 Dy
0.667 0.333 0.000 Dy
```

[4]
# Pm2NdSmDy5

A geometry-optimized Pm2NdSmDy5 structure (PBE-GGA, Alexandria).

DFT total energy, eV per atom: -4.41
Total moment, μB/atom: 0.000
Symmetry: No. 140
DFT formation energy, eV per atom: 0.2573

POSCAR file:
```
Pm2NdSmDy5
1.0
-4.367 4.367 7.781
4.367 -4.367 7.781
4.367 4.367 -7.781
Pm Nd Sm Dy
4 2 2 10
Direct
0.117 0.617 0.734 Pm
0.383 0.117 0.500 Pm
0.617 0.883 0.500 Pm
0.883 0.383 0.266 Pm
0.250 0.250 0.000 Nd
0.750 0.750 0.000 Nd
0.250 0.750 0.500 Sm
0.750 0.250 0.500 Sm
0.000 0.000 0.000 Dy
0.072 0.155 0.500 Dy
0.155 0.655 0.083 Dy
0.345 0.428 0.500 Dy
0.428 0.928 0.083 Dy
0.500 0.500 0.000 Dy
0.572 0.072 0.917 Dy
0.655 0.572 0.500 Dy
0.845 0.345 0.917 Dy
0.928 0.845 0.500 Dy
```